(1)
Material: ZrBMo
Method: DFT, PBE
State: relaxed

Unit cell a=5.9958 b=5.9958 c=5.9958 alpha=90.00 beta=90.00 gamma=90.00
Sites, in units of the cell vectors:
Zr 0.0000 0.0000 0.0000
Zr 0.0000 0.5000 0.5000
Zr 0.5000 0.0000 0.5000
Zr 0.5000 0.5000 0.0000
B 0.2500 0.2500 0.7500
B 0.2500 0.7500 0.2500
B 0.7500 0.2500 0.2500
B 0.7500 0.7500 0.7500
Mo 0.2500 0.2500 0.2500
Mo 0.2500 0.7500 0.7500
Mo 0.7500 0.2500 0.7500
Mo 0.7500 0.7500 0.2500

Summary:
- ΔE to the lowest computed polymorph: 350 meV per atom
- Volume: 216 Å³ per cell
- Space-group type: F-43m, No. 216

=====

(2)
Material: ZrB2Mo2
Method: DFT, PBE
State: relaxed

Unit cell a=3.6064 b=3.6064 c=10.0497 alpha=90.00 beta=90.00 gamma=90.00
Sites, in units of the cell vectors:
Zr 0.0000 0.0000 0.0000
Zr 0.5000 0.5000 0.5000
B 0.0000 0.0000 0.4131
B 0.0000 0.0000 0.5869
B 0.5000 0.5000 0.0869
B 0.5000 0.5000 0.9131
Mo 0.0000 0.5000 0.2500
Mo 0.0000 0.5000 0.7500
Mo 0.5000 0.0000 0.2500
Mo 0.5000 0.0000 0.7500

Summary:
- Volume: 131 Å³ per cell
- Space-group type: I4/mmm, No. 139
- Total DFT energy (no corrections): -9.11 eV/atom

=====

(3)
Material: NdBN2
Method: DFT, PBE
State: relaxed

Unit cell a=7.3612 b=7.3612 c=7.3612 alpha=110.70 beta=110.70 gamma=110.70
Sites, in units of the cell vectors:
Nd 0.0005 0.4541 0.5454
Nd 0.0454 0.9541 0.5005
Nd 0.4541 0.5454 0.0005
Nd 0.5005 0.0454 0.9541
Nd 0.5454 0.0005 0.4541
Nd 0.9541 0.5005 0.0454
B 0.0015 0.1213 0.8819
B 0.1213 0.8819 0.0015
B 0.3819 0.6213 0.5015
B 0.5015 0.3819 0.6213
B 0.6213 0.5015 0.3819
B 0.8819 0.0015 0.1213
N 0.0008 0.2423 0.7586
N 0.0023 0.8796 0.1248
N 0.1248 0.0023 0.8796
N 0.2423 0.7586 0.0008
N 0.2586 0.7423 0.5008
N 0.3796 0.5023 0.6248
N 0.5008 0.2586 0.7423
N 0.5023 0.6248 0.3796
N 0.6248 0.3796 0.5023
N 0.7423 0.5008 0.2586
N 0.7586 0.0008 0.2423
N 0.8796 0.1248 0.0023

Summary:
- Volume: 292 Å³ per cell
- Space-group type: R3c, No. 161
- Total DFT energy (no corrections): -8.37 eV/atom

=====

(4)
Material: Nd4B2N
Method: DFT, PBE
State: relaxed

Unit cell a=4.3105 b=4.3105 c=10.4402 alpha=90.00 beta=90.00 gamma=120.00
Sites, in units of the cell vectors:
Nd 0.0000 0.0000 0.0000
Nd 0.0000 0.0000 0.4763
Nd 0.3333 0.6667 0.2364
Nd 0.3333 0.6667 0.7585
B 0.3333 0.6667 0.5003
B 0.6667 0.3333 0.8857
N 0.0000 0.0000 0.2413

Summary:
- Volume: 168 Å³ per cell
- Space-group type: P3m1, No. 156
- Total DFT energy (no corrections): -5.94 eV/atom

=====

(5)
Material: Pr2NdNi2B2N3
Method: DFT, PBE
State: relaxed

Unit cell a=10.4999 b=10.4999 c=10.4999 alpha=159.99 beta=159.99 gamma=28.44
Sites, in units of the cell vectors:
Pr 0.1262 0.1262 0.0000
Pr 0.8738 0.8738 0.0000
Nd 0.5000 0.5000 0.0000
Ni 0.2500 0.7500 0.5000
Ni 0.7500 0.2500 0.5000
B 0.3065 0.3065 0.0000
B 0.6935 0.6935 0.0000
N 0.0000 0.0000 0.0000
N 0.3775 0.3775 0.0000
N 0.6225 0.6225 0.0000

Summary:
- Volume: 135 Å³ per cell
- Space-group type: I4/mmm, No. 139
- Total DFT energy (no corrections): -7.40 eV/atom

=====

(6)
Material: PrNd2Ni2B2N3
Method: DFT, PBE
State: relaxed

Unit cell a=10.5039 b=10.5039 c=10.5039 alpha=160.09 beta=160.09 gamma=28.30
Sites, in units of the cell vectors:
Pr 0.0000 0.0000 0.0000
Nd 0.3738 0.3738 0.0000
Nd 0.6262 0.6262 0.0000
Ni 0.2500 0.7500 0.5000
Ni 0.7500 0.2500 0.5000
B 0.1936 0.1936 0.0000
B 0.8064 0.8064 0.0000
N 0.1227 0.1227 0.0000
N 0.5000 0.5000 0.0000
N 0.8773 0.8773 0.0000

Summary:
- Volume: 134 Å³ per cell
- Space-group type: I4/mmm, No. 139
- Total DFT energy (no corrections): -7.41 eV/atom

=====

Copy entry 4 word for word.
Material: Nd4B2N
Method: DFT, PBE
State: relaxed

Unit cell a=4.3105 b=4.3105 c=10.4402 alpha=90.00 beta=90.00 gamma=120.00
Sites, in units of the cell vectors:
Nd 0.0000 0.0000 0.0000
Nd 0.0000 0.0000 0.4763
Nd 0.3333 0.6667 0.2364
Nd 0.3333 0.6667 0.7585
B 0.3333 0.6667 0.5003
B 0.6667 0.3333 0.8857
N 0.0000 0.0000 0.2413

Summary:
- Volume: 168 Å³ per cell
- Space-group type: P3m1, No. 156
- Total DFT energy (no corrections): -5.94 eV/atom

=====

> Number 2 is which compound?

ZrB2Mo2

=====

> Number 4 is which compound?

Nd4B2N